DFT (GGA-PBE) results for an optimized crystal structure of PBrN2F.

The structure belongs to space group P4/mmm (No. 123); the cell edges are 3.699, 3.699 and 3.886 Å and the angles 90.00°, 90.00° and 90.00°. The asymmetric unit holds P at (0.000, 0.000, 0.000), Br at (0.500, 0.500, 0.500), N at (0.000, 0.500, 0.000) and F at (0.000, 0.000, 0.500).

The calculation puts the energy relative to the lowest polymorph listed for this composition at 0.000 eV per atom.

***

DFT (GGA-PBE) results for an optimized crystal structure of PBrN2F.

The structure belongs to space group P4/mmm (No. 123); the cell edges are 4.127, 4.127 and 4.013 Å and the angles 90.00°, 90.00° and 90.00°. The asymmetric unit holds P at (0.000, 0.000, 0.000), Br at (0.500, 0.500, 0.500), N at (0.000, 0.500, 0.500) and F at (0.500, 0.500, 0.000).

The calculation puts the energy relative to the lowest polymorph listed for this composition at 1.140 eV per atom.

***

DFT (GGA-PBE) results for an optimized crystal structure of PBrNF.

The structure belongs to space group Cmc2_1 (No. 36); the cell edges are 13.046, 10.654 and 8.412 Å and the angles 90.00°, 90.00° and 90.00°. The asymmetric unit holds P at (0.000, 0.166, 0.000), P at (0.106, 0.296, 0.768), Br at (0.000, 0.237, 0.243), Br at (0.201, 0.458, 0.826), N at (0.000, 0.338, 0.692), N at (0.105, 0.199, 0.913), F at (0.000, 0.021, 0.033) and F at (0.172, 0.236, 0.633).

For the total DFT energy (no corrections), the calculation gives -256.264 eV/cell.

***

The calculation returns the following M_tot values, one per record and in order: 0.00, 0.00, 0.00 μB per atom.